# 1
# Pm3GaCo PBE optimized geometry
# **ΔE to the lowest computed polymorph**: 19.4 meV/atom
# **Crystal system**: triclinic
# **Spin magnetization**: 0.00 μB/f.u.
data_Pm3GaCo
_chemical_formula_sum 'Pm6 Ga2 Co2'
_space_group_name_H-M_alt 'P -1'
_space_group_IT_number 2
_cell_length_a 3.7603
_cell_length_b 8.3699
_cell_length_c 8.4917
_cell_angle_alpha 88.96
_cell_angle_beta 89.99
_cell_angle_gamma 77.03
loop_
_space_group_symop_operation_xyz
'x,y,z'
'-x,-y,-z'
loop_
_atom_site_label
_atom_site_type_symbol
_atom_site_fract_x
_atom_site_fract_y
_atom_site_fract_z
Pm1 Pm 0.0483 0.4039 0.1903
Pm2 Pm 0.2509 0.9986 0.7994
Pm3 Pm 0.3977 0.7069 0.4525
Ga1 Ga 0.3902 0.7202 0.0792
Co1 Co 0.2163 0.0684 0.4478



# 2
# Pm3Ga3Co2 PBE optimized geometry
# **ΔE to the lowest computed polymorph**: 0.0 meV/atom
# **Crystal system**: orthorhombic
# **Spin magnetization**: 0.00 μB/f.u.
data_Pm3Ga3Co2
_chemical_formula_sum 'Pm12 Ga12 Co8'
_space_group_name_H-M_alt 'C m c m'
_space_group_IT_number 63
_space_group_name_Hall '-C 2c 2'
_cell_length_a 3.9016
_cell_length_b 11.0909
_cell_length_c 15.3890
_cell_angle_alpha 90.00
_cell_angle_beta 90.00
_cell_angle_gamma 90.00
loop_
_atom_site_label
_atom_site_type_symbol
_atom_site_fract_x
_atom_site_fract_y
_atom_site_fract_z
Pm1 Pm 0.0000 0.0642 0.1046
Pm2 Pm 0.0000 0.3385 0.2500
Ga1 Ga 0.0000 0.3386 0.0370
Ga2 Ga 0.0000 0.3701 0.7500
Co1 Co 0.0000 0.2346 0.6144



# 3
# Pm8Ga2Co PBE optimized geometry
# **ΔE to the lowest computed polymorph**: 0.0 meV/atom
# **Crystal system**: monoclinic
# **Spin magnetization**: 0.00 μB/f.u.
data_Pm8Ga2Co
_chemical_formula_sum 'Pm16 Ga4 Co2'
_space_group_name_H-M_alt 'C 1 2/m 1'
_space_group_IT_number 12
_cell_length_a 18.2932
_cell_length_b 5.0376
_cell_length_c 6.8189
_cell_angle_alpha 90.00
_cell_angle_beta 100.74
_cell_angle_gamma 90.00
loop_
_space_group_symop_operation_xyz
'x,y,z'
'-x,-y,-z'
'-x,y,-z'
'x,-y,z'
'x+1/2,y+1/2,z'
'-x+1/2,-y+1/2,-z'
'-x+1/2,y+1/2,-z'
'x+1/2,-y+1/2,z'
loop_
_atom_site_label
_atom_site_type_symbol
_atom_site_fract_x
_atom_site_fract_y
_atom_site_fract_z
Pm1 Pm 0.0201 0.0000 0.2795
Pm2 Pm 0.0912 0.5000 0.9554
Pm3 Pm 0.1491 0.5000 0.4733
Pm4 Pm 0.2083 0.0000 0.8068
Ga1 Ga 0.1892 0.0000 0.2488
Co1 Co 0.0000 0.5000 0.5000



# 4
# Pm2Ga2Co PBE optimized geometry
# **ΔE to the lowest computed polymorph**: 6.1 meV/atom
# **Crystal system**: monoclinic
# **Spin magnetization**: 0.00 μB/f.u.
data_Pm2Ga2Co
_chemical_formula_sum 'Pm8 Ga8 Co4'
_space_group_name_H-M_alt 'C 1 2/m 1'
_space_group_IT_number 12
_cell_length_a 11.4718
_cell_length_b 3.7126
_cell_length_c 11.7874
_cell_angle_alpha 90.00
_cell_angle_beta 117.42
_cell_angle_gamma 90.00
loop_
_space_group_symop_operation_xyz
'x,y,z'
'-x,-y,-z'
'-x,y,-z'
'x,-y,z'
'x+1/2,y+1/2,z'
'-x+1/2,-y+1/2,-z'
'-x+1/2,y+1/2,-z'
'x+1/2,-y+1/2,z'
loop_
_atom_site_label
_atom_site_type_symbol
_atom_site_fract_x
_atom_site_fract_y
_atom_site_fract_z
Pm1 Pm 0.0943 0.0000 0.3823
Pm2 Pm 0.2200 0.5000 0.1420
Ga1 Ga 0.0289 0.0000 0.9081
Ga2 Ga 0.1238 0.5000 0.6143
Co1 Co 0.0705 0.5000 0.8005



What did the fourth record say?
# Pm2Ga2Co PBE optimized geometry
# **ΔE to the lowest computed polymorph**: 6.1 meV/atom
# **Crystal system**: monoclinic
# **Spin magnetization**: 0.00 μB/f.u.
data_Pm2Ga2Co
_chemical_formula_sum 'Pm8 Ga8 Co4'
_space_group_name_H-M_alt 'C 1 2/m 1'
_space_group_IT_number 12
_cell_length_a 11.4718
_cell_length_b 3.7126
_cell_length_c 11.7874
_cell_angle_alpha 90.00
_cell_angle_beta 117.42
_cell_angle_gamma 90.00
loop_
_space_group_symop_operation_xyz
'x,y,z'
'-x,-y,-z'
'-x,y,-z'
'x,-y,z'
'x+1/2,y+1/2,z'
'-x+1/2,-y+1/2,-z'
'-x+1/2,y+1/2,-z'
'x+1/2,-y+1/2,z'
loop_
_atom_site_label
_atom_site_type_symbol
_atom_site_fract_x
_atom_site_fract_y
_atom_site_fract_z
Pm1 Pm 0.0943 0.0000 0.3823
Pm2 Pm 0.2200 0.5000 0.1420
Ga1 Ga 0.0289 0.0000 0.9081
Ga2 Ga 0.1238 0.5000 0.6143
Co1 Co 0.0705 0.5000 0.8005